Entry 1:
# V3Mo2H4 PBE relaxed
data_V3Mo2H4
_space_group_name_H-M_alt 'C 1 2/m 1'
_space_group_IT_number 12
_space_group_name_Hall '-C 2y'
_cell_length_a 9.0833
_cell_length_b 2.6482
_cell_length_c 7.2845
_cell_angle_alpha 90.00
_cell_angle_beta 109.13
_cell_angle_gamma 90.00
loop_
_atom_site_label
_atom_site_type_symbol
_atom_site_fract_x
_atom_site_fract_y
_atom_site_fract_z
V1 V 0.0000 0.0000 0.0000
V2 V 0.1073 0.5000 0.3846
Mo1 Mo 0.1836 0.5000 0.8026
H1 H 0.1378 0.5000 0.1359
H2 H 0.1741 0.0000 0.5792
# Total DFT energy (no corrections) in eV/f.u.: -61.9

=====

Entry 2:
# ZnAgHPd2 PBE relaxed
data_ZnAgHPd2
_space_group_name_H-M_alt 'P 4/m m m'
_space_group_IT_number 123
_space_group_name_Hall '-P 4 2'
_cell_length_a 3.9858
_cell_length_b 3.9858
_cell_length_c 4.0809
_cell_angle_alpha 90.00
_cell_angle_beta 90.00
_cell_angle_gamma 90.00
loop_
_atom_site_label
_atom_site_type_symbol
_atom_site_fract_x
_atom_site_fract_y
_atom_site_fract_z
Zn1 Zn 0.0000 0.0000 0.0000
Ag1 Ag 0.5000 0.5000 0.0000
H1 H 0.0000 0.0000 0.5000
Pd1 Pd 0.0000 0.5000 0.5000
# ΔE to the lowest computed polymorph in eV/atom: 0.068

=====

Entry 3:
# DyYTmIn PBE relaxed
data_DyYTmIn
_space_group_name_H-M_alt 'P m m m'
_space_group_IT_number 47
_space_group_name_Hall '-P 2 2'
_cell_length_a 4.8146
_cell_length_b 4.8230
_cell_length_c 4.8494
_cell_angle_alpha 90.00
_cell_angle_beta 90.00
_cell_angle_gamma 90.00
loop_
_atom_site_label
_atom_site_type_symbol
_atom_site_fract_x
_atom_site_fract_y
_atom_site_fract_z
Dy1 Dy 0.0000 0.0000 0.0000
Y1 Y 0.0000 0.5000 0.5000
Tm1 Tm 0.5000 0.5000 0.0000
In1 In 0.5000 0.0000 0.5000
# ΔE to the lowest computed polymorph in eV/atom: 0.000
# DFT formation energy in eV per atom: -0.266

=====

Entry 4:
# Ac4Hg2Cl PBE relaxed
data_Ac4Hg2Cl
_space_group_name_H-M_alt 'I 4/m m m'
_space_group_IT_number 139
_space_group_name_Hall '-I 4 2'
_cell_length_a 5.7609
_cell_length_b 5.7609
_cell_length_c 16.0601
_cell_angle_alpha 90.00
_cell_angle_beta 90.00
_cell_angle_gamma 90.00
loop_
_atom_site_label
_atom_site_type_symbol
_atom_site_fract_x
_atom_site_fract_y
_atom_site_fract_z
Ac1 Ac 0.0000 0.0000 0.1949
Ac2 Ac 0.0000 0.5000 0.0000
Hg1 Hg 0.0000 0.0000 0.3909
Cl1 Cl 0.0000 0.0000 0.0000
# Energy relative to the elements, uncorrected in eV per formula unit: -3.6

=====

Entry 5:
# ThSeS PBE relaxed
data_ThSeS
_space_group_name_H-M_alt 'P n m a'
_space_group_IT_number 62
_space_group_name_Hall '-P 2ac 2n'
_cell_length_a 10.2718
_cell_length_b 4.4784
_cell_length_c 7.2701
_cell_angle_alpha 90.00
_cell_angle_beta 90.00
_cell_angle_gamma 90.00
loop_
_atom_site_label
_atom_site_type_symbol
_atom_site_fract_x
_atom_site_fract_y
_atom_site_fract_z
Th1 Th 0.1664 0.2500 0.1331
Se1 Se 0.1158 0.7500 0.3811
S1 S 0.1158 0.7500 0.8906
# ΔE to the lowest computed polymorph in eV/atom: 0.000
# Energy relative to the elements, uncorrected in eV per formula unit: -5.6

=====

Entry 6:
# Ho2Ga4Cu3Ag PBE relaxed
data_Ho2Ga4Cu3Ag
_space_group_name_H-M_alt 'P -4 m 2'
_space_group_IT_number 115
_space_group_name_Hall 'P -4 -2'
_cell_length_a 4.0943
_cell_length_b 4.0943
_cell_length_c 10.6090
_cell_angle_alpha 90.00
_cell_angle_beta 90.00
_cell_angle_gamma 90.00
loop_
_atom_site_label
_atom_site_type_symbol
_atom_site_fract_x
_atom_site_fract_y
_atom_site_fract_z
Ho1 Ho 0.0000 0.5000 0.2405
Ga1 Ga 0.0000 0.0000 0.0000
Ga2 Ga 0.0000 0.5000 0.6461
Ga3 Ga 0.5000 0.5000 0.0000
Cu1 Cu 0.0000 0.5000 0.8684
Cu2 Cu 0.5000 0.5000 0.5000
Ag1 Ag 0.0000 0.0000 0.5000
# DFT formation energy in eV per atom: -0.398

=====

Entry 7:
# Ac8Ru2N PBE relaxed
data_Ac8Ru2N
_space_group_name_H-M_alt 'C 1 2/m 1'
_space_group_IT_number 12
_space_group_name_Hall '-C 2y'
_cell_length_a 16.2760
_cell_length_b 8.0445
_cell_length_c 6.1729
_cell_angle_alpha 90.00
_cell_angle_beta 90.47
_cell_angle_gamma 90.00
loop_
_atom_site_label
_atom_site_type_symbol
_atom_site_fract_x
_atom_site_fract_y
_atom_site_fract_z
Ac1 Ac 0.0675 0.2215 0.2277
Ac2 Ac 0.1331 0.5000 0.7225
Ac3 Ac 0.1973 0.0000 0.7652
Ru1 Ru 0.2017 0.0000 0.2858
N1 N 0.0000 0.0000 0.0000
# ΔE to the lowest computed polymorph in eV/atom: 0.192
# Energy relative to the elements, uncorrected in eV per formula unit: -0.6

=====

Entry 8:
# Sn2GeAu PBE relaxed
data_Sn2GeAu
_space_group_name_H-M_alt 'R -3 m'
_space_group_IT_number 166
_space_group_name_Hall '-R 3 2"'
_cell_length_a 3.2461
_cell_length_b 3.2461
_cell_length_c 31.2722
_cell_angle_alpha 90.00
_cell_angle_beta 90.00
_cell_angle_gamma 120.00
loop_
_atom_site_label
_atom_site_type_symbol
_atom_site_fract_x
_atom_site_fract_y
_atom_site_fract_z
Sn1 Sn 0.0000 0.0000 0.0933
Ge1 Ge 0.0000 0.0000 0.0000
Au1 Au 0.0000 0.0000 0.5000
# DFT formation energy in eV per atom: 0.155

=====

Q: Number 7 is which compound?
A: Ac8Ru2N